A geometry-optimized KMoIr2 structure. Source: the Alexandria database, functional PBE.

Summary:
VASP energy = -25.17 eV/cell
Symmetry = No. 10
ΔH_f (0 K) = 1.120 eV/atom

Lattice parameters (Å, degrees): 2.6908 5.5271 5.6181 55.83 90.00 90.00
With the nearest neighbours (Å) after each atom.
Sites, in units of the cell vectors:
Ir 0.0000 0.0000 0.0000  2 Ir 2.69, 2 Mo 2.81, 4 K 2.94
Ir 0.5000 0.5000 0.0000  2 Ir 2.69, 2 K 2.81, 4 Mo 2.94
K 0.5000 0.5000 0.5000  2 K 2.69, 6 Ir 2.81-2.94
Mo 0.0000 0.0000 0.5000  2 Mo 2.69, 6 Ir 2.81-2.94



A geometry-optimized KMo2Ir structure. Source: the Alexandria database, functional PBE.

Summary:
VASP energy = -26.41 eV/cell
Symmetry = No. 47
ΔH_f (0 K) = 1.304 eV/atom

Lattice parameters (Å, degrees): 2.9405 4.8356 4.9210 90.00 90.00 90.00
With the nearest neighbours (Å) after each atom.
Sites, in units of the cell vectors:
Ir 0.5000 0.0000 0.5000  4 K 2.83, 4 Mo 2.87, 2 Ir 2.94
K 0.0000 0.5000 0.5000  4 Ir 2.83, 4 Mo 2.87, 2 K 2.94
Mo 0.0000 0.0000 0.0000  6 Mo 2.83-2.94, 4 Ir 2.87
Mo 0.5000 0.5000 0.0000  6 Mo 2.83-2.94, 4 K 2.87



A geometry-optimized KMo2Ir structure. Source: the Alexandria database, functional PBE.

Summary:
VASP energy = -29.24 eV/cell
Symmetry = No. 99
ΔH_f (0 K) = 0.596 eV/atom

Lattice parameters (Å, degrees): 2.8254 2.8254 9.7383 90.00 90.00 90.00
With the nearest neighbours (Å) after each atom.
Sites, in units of the cell vectors:
Ir 0.0000 0.0000 0.4475  4 Mo 2.63, 4 Ir 2.83
K 0.5000 0.5000 0.7243  4 K 2.83
Mo 0.0000 0.0000 0.0566  8 Mo 2.83-2.89
Mo 0.5000 0.5000 0.2716  4 Ir 2.63, 8 Mo 2.83-2.89



A geometry-optimized KMoIr structure. Source: the Alexandria database, functional PBE.

Summary:
VASP energy = -18.93 eV/cell
Symmetry = No. 44
ΔH_f (0 K) = 0.620 eV/atom

Lattice parameters (Å, degrees): 6.9112 6.9112 6.9112 156.67 147.19 40.65
With the nearest neighbours (Å) after each atom.
Sites, in units of the cell vectors:
Ir 0.9571 0.9571 0.0000  4 Mo 2.58, 2 Ir 2.79
K 0.6595 0.6595 0.0000  2 K 2.79
Mo 0.3833 0.3833 0.0000  4 Ir 2.58, 2 Mo 2.79



A geometry-optimized K2MoIr structure. Source: the Alexandria database, functional PBE.

Summary:
VASP energy = -19.55 eV/cell
Symmetry = No. 25
ΔH_f (0 K) = 0.585 eV/atom

Lattice parameters (Å, degrees): 3.3615 3.3513 10.7166 90.00 90.00 90.00
With the nearest neighbours (Å) after each atom.
Sites, in units of the cell vectors:
Ir 0.5000 0.5000 0.6743  4 Mo 2.56
K 0.0000 0.0000 0.9139  4 K 3.35-3.36, 4 Ir 3.50, 1 Mo 3.53
K 0.5000 0.5000 0.3275  4 K 3.35-3.36, 4 Mo 3.63, 1 Ir 3.72
Mo 0.0000 0.0000 0.5843  4 Ir 2.56



A geometry-optimized KMoIr2 structure. Source: the Alexandria database, functional PBE.

Summary:
VASP energy = -26.96 eV/cell
Symmetry = No. 6
ΔH_f (0 K) = 0.674 eV/atom

Lattice parameters (Å, degrees): 4.4225 2.8095 7.0754 89.00 90.00 90.00
With the nearest neighbours (Å) after each atom.
Sites, in units of the cell vectors:
Ir 0.0000 0.1274 0.9515  4 Mo 2.65-2.67, 4 Ir 2.74-2.81
Ir 0.5000 0.1247 0.1805  2 Mo 2.53, 4 Ir 2.74-2.81
K 0.0000 0.6104 0.4844  2 K 2.81
Mo 0.5000 0.6375 0.8835  6 Ir 2.53-2.67, 2 Mo 2.81



A geometry-optimized KMoIr structure. Source: the Alexandria database, functional PBE.

Summary:
VASP energy = -18.85 eV/cell
Symmetry = No. 107
ΔH_f (0 K) = 0.645 eV/atom

Lattice parameters (Å, degrees): 7.3941 7.3941 7.3941 155.20 155.20 35.36
With the nearest neighbours (Å) after each atom.
Sites, in units of the cell vectors:
Ir 0.0362 0.0362 0.0000  4 Mo 2.53
K 0.3446 0.3446 0.0000  4 K 3.18, 4 Ir 3.51
Mo 0.6192 0.6192 0.0000  4 Ir 2.53



A geometry-optimized KMoIr4 structure. Source: the Alexandria database, functional PBE.

Summary:
VASP energy = -43.68 eV/cell
Symmetry = No. 216
ΔH_f (0 K) = 0.616 eV/atom

Lattice parameters (Å, degrees): 5.2610 5.2610 5.2610 60.00 60.00 60.00
With the nearest neighbours (Å) after each atom.
Sites, in units of the cell vectors:
K 0.7500 0.7500 0.7500  12 Ir 3.08, 4 Mo 3.22
Mo 0.0000 0.0000 0.0000  12 Ir 3.08, 4 K 3.22
Ir 0.8751 0.3750 0.3750  6 Ir 2.63
Ir 0.3750 0.3750 0.8751  6 Ir 2.63
Ir 0.3750 0.8751 0.3750  6 Ir 2.63
Ir 0.3750 0.3750 0.3750  6 Ir 2.63